[1]
# BaSrBi

Crystalline BaSrBi at its relaxed geometry (PBE, the Alexandria database).

Cell lengths 5.8242, 5.8242, 5.8242 Å; angles 60.00, 60.00, 60.00 degrees
Positions (direct):
1 Sr 0.5000 0.5000 0.5000
2 Bi 0.2500 0.2500 0.2500
3 Ba 0.0000 0.0000 0.0000

The size of the total moment is 0.00 μB per formula unit. The value obtained for the density of states at the Fermi level is 0.640 states/eV per atom. Its formation energy is -702.1 meV/atom. The calculation puts the total energy at -9.592 eV/cell. For the energy above the most stable polymorph in this dataset, the calculation gives 0.0427 eV per atom.

***

[2]
# BaSrBi

Crystalline BaSrBi at its relaxed geometry (PBE, the Alexandria database).

Cell lengths 5.2152, 5.2152, 9.5802 Å; angles 89.99, 90.01, 90.00 degrees
Site moments in Bohr magnetons follow the coordinates.
Positions (direct):
1 Ba 0.2501 0.7499 0.3559  0.11
2 Ba 0.7499 0.2501 0.6441  0.11
3 Sr 0.7500 0.7500 0.0000  0.12
4 Sr 0.2500 0.2500 0.0000  0.12
5 Bi 0.7503 0.2497 0.2564  0.00
6 Bi 0.2497 0.7503 0.7436  0.00

The size of the total moment is 0.98 μB per formula unit. The value obtained for the density of states at the Fermi level is 0.423 states/eV per atom. Its formation energy is -744.8 meV/atom. The calculation puts the total energy at -19.440 eV/cell. For the energy above the most stable polymorph in this dataset, the calculation gives 0.0000 eV per atom.

***

[3]
# Ba2SrBi

Crystalline Ba2SrBi at its relaxed geometry (PBE, the Alexandria database).

Cell lengths 4.7038, 4.7038, 8.6081 Å; angles 90.00, 90.00, 90.00 degrees
Positions (direct):
1 Sr 0.5000 0.5000 0.5000
2 Bi 0.5000 0.5000 0.0000
3 Ba 0.0000 0.0000 0.7978
4 Ba 0.0000 0.0000 0.2022

The size of the total moment is 0.00 μB per formula unit. The value obtained for the density of states at the Fermi level is 0.891 states/eV per atom. Its formation energy is -460.6 meV/atom. The calculation puts the total energy at -11.251 eV/cell.

***

[4]
# BaSrBi

Crystalline BaSrBi at its relaxed geometry (PBE, the Alexandria database).

Cell lengths 8.2376, 8.2376, 10.0618 Å; angles 65.96, 65.96, 90.22 degrees
Positions (direct):
1 Ba 0.2073 0.9578 0.5012
2 Ba 0.9610 0.7113 0.9929
3 Ba 0.7113 0.9610 0.4929
4 Ba 0.9578 0.2073 0.0012
5 Bi 0.5737 0.3451 0.2470
6 Bi 0.0952 0.8237 0.2470
7 Bi 0.3451 0.5737 0.7470
8 Bi 0.8237 0.0952 0.7470
9 Sr 0.4591 0.2088 0.9984
10 Sr 0.2088 0.4591 0.4984
11 Sr 0.7102 0.4599 0.4957
12 Sr 0.4599 0.7102 0.9957

The size of the total moment is 0.00 μB per formula unit. The value obtained for the density of states at the Fermi level is 0.655 states/eV per atom. Its formation energy is -700.9 meV/atom. The calculation puts the total energy at -38.353 eV/cell. For the energy above the most stable polymorph in this dataset, the calculation gives 0.0439 eV per atom.